The following is a GGA-PBEsol calculation of CdAg after structural relaxation, from the Alexandria database.

Structure (extended XYZ):
```
24
Lattice="9.4491 0.0000 0.0000 0.0000 8.2011 0.0000 0.0000 0.0000 5.6724" Properties=species:S:1:pos:R:3 pbc="T T T"
Cd 1.0719 0.4696 1.4181
Cd 1.0719 3.6310 4.2543
Cd 3.3227 4.9996 1.4181
Cd 3.3227 7.3020 4.2543
Cd 3.5919 2.0503 0.0000
Cd 3.5919 2.0503 2.8362
Cd 5.8573 6.1508 0.0000
Cd 5.8573 6.1508 2.8362
Cd 6.1265 0.8991 1.4181
Cd 6.1265 3.2014 4.2543
Cd 8.3773 4.5701 1.4181
Cd 8.3773 7.7315 4.2543
Ag 1.0736 6.1508 0.0000
Ag 1.0736 6.1508 2.8362
Ag 1.2839 0.9101 4.2543
Ag 1.2839 3.1904 1.4181
Ag 3.6873 4.5766 4.2543
Ag 3.6873 7.7251 1.4181
Ag 5.7618 0.4760 4.2543
Ag 5.7618 3.6245 1.4181
Ag 8.1653 5.0107 4.2543
Ag 8.1653 7.2909 1.4181
Ag 8.3755 2.0503 0.0000
Ag 8.3755 2.0503 2.8362
```

Calculated values
**Energy of formation from the pure elements**: -0.035 eV/atom
**Symmetry**: Pbcm
**Total DFT energy (no corrections)**: -2.2895 eV per atom

=====

The following is a GGA-PBEsol calculation of CdAg3 after structural relaxation, from the Alexandria database.

Structure (extended XYZ):
```
4
Lattice="2.9518 0.0000 0.0000 0.0000 4.7143 0.0000 0.0000 0.0000 4.9484" Properties=species:S:1:pos:R:3 pbc="T T T"
Cd 0.0000 0.0000 0.0000
Ag 0.0000 2.3572 3.2415
Ag 1.4759 0.0000 2.4750
Ag 1.4759 2.3572 0.7917
```

Calculated values
**Energy of formation from the pure elements**: -0.048 eV/atom
**Symmetry**: Pmm2
**Total DFT energy (no corrections)**: -2.8302 eV per atom

=====

The following is a GGA-PBEsol calculation of CdAg after structural relaxation, from the Alexandria database.

Structure (extended XYZ):
```
4
Lattice="1.4612 -5.4518 0.0000 1.4612 5.4518 0.0000 0.0000 0.0000 4.5839" Properties=species:S:1:pos:R:3 pbc="T T T"
Cd 1.4612 3.6190 3.4379
Cd 1.4612 -3.6190 1.1460
Ag 1.4612 0.7790 3.4379
Ag 1.4612 -0.7790 1.1460
```

Calculated values
**Energy of formation from the pure elements**: -0.051 eV/atom
**Symmetry**: Cmcm
**Total DFT energy (no corrections)**: -2.3053 eV per atom

=====

The following is a GGA-PBEsol calculation of CeCd2Ag after structural relaxation, from the Alexandria database.

Structure (extended XYZ):
```
4
Lattice="0.0000 3.5275 3.5275 3.5275 0.0000 3.5275 3.5275 3.5275 0.0000" Properties=species:S:1:pos:R:3 pbc="T T T"
Ce 0.0000 0.0000 0.0000
Cd 1.7637 1.7637 1.7637
Cd 5.2912 5.2912 5.2912
Ag 3.5275 3.5275 3.5275
```

Calculated values
**Energy of formation from the pure elements**: -0.120 eV/atom
**Symmetry**: Fm-3m
**Total DFT energy (no corrections)**: -3.1956 eV per atom

=====

The following is a GGA-PBEsol calculation of CdAgCl after structural relaxation, from the Alexandria database.

Structure (extended XYZ):
```
3
Lattice="0.0000 3.2945 3.2945 3.2945 0.0000 3.2945 3.2945 3.2945 0.0000" Properties=species:S:1:pos:R:3 pbc="T T T"
Cd 0.0000 0.0000 0.0000
Ag 1.6473 1.6473 1.6473
Cl 4.9418 4.9418 4.9418
```

Calculated values
**Symmetry**: F-43m
**Total DFT energy (no corrections)**: -2.0587 eV per atom
**Formation energy from raw total energies**: 0.34 eV/f.u.

=====

The following is a GGA-PBEsol calculation of CdAgCl2 after structural relaxation, from the Alexandria database.

Structure (extended XYZ):
```
4
Lattice="-1.6513 3.0222 4.4883 1.6513 -3.0222 4.4883 1.6513 3.0222 -4.4883" Properties=species:S:1:pos:R:3 pbc="T T T"
Cd 0.0000 0.0000 0.0000
Ag 0.0000 3.0222 2.2917
Cl 1.6513 0.0000 1.9225
Cl 0.0000 0.0000 4.8850
```

Calculated values
**Energy above the most stable polymorph in this dataset**: 0 meV per atom
**Symmetry**: Imm2
**Total DFT energy (no corrections)**: -2.5105 eV per atom
**Formation energy from raw total energies**: -1.52 eV/f.u.